A plane-wave DFT calculation with GGA-PBE was carried out for a geometry-optimized TbScRh structure.

Properties
- DOS at the Fermi energy (states/eV per cell) = 7.976
- formation enthalpy at 0 K (kJ per mole of atoms) = -54.2
- E_tot (eV/atom) = -6.67
- energy above the most stable polymorph in this dataset (meV/atom) = 126

Unit cell a=3.335 b=3.335 c=12.123 alpha=90.00 beta=90.00 gamma=90.00
Space group I4mm (No. 107)
Asymmetric unit:
Tb1 0.000 0.000 0.000 [2 per cell]
Sc1 0.000 0.000 0.270 [2 per cell]
Rh1 0.000 0.000 0.651 [2 per cell]